[1]
# meta-GGA SCAN Be2PdBr, PBEsol geometry
data_Be2PdBr
_symmetry_space_group_name_H-M 'I -4 2 d'
_symmetry_Int_Tables_number 122
_symmetry_space_group_name_Hall 'I -4 2bw'
_cell_length_a 5.583
_cell_length_b 5.583
_cell_length_c 8.534
_cell_angle_alpha 90.00
_cell_angle_beta 90.00
_cell_angle_gamma 90.00
loop_
_atom_site_label
_atom_site_fract_x
_atom_site_fract_y
_atom_site_fract_z
Be1 0.231 0.750 0.125
Pd1 0.000 0.000 0.000
Br1 0.000 0.000 0.500
# * calculated volume: 16.62 A^3/atom
# * VASP energy: -241.1 eV/cell
# * raw formation energy: 167.5 meV per atom

=====

[2]
# meta-GGA SCAN BePd3Br, PBEsol geometry
data_BePd3Br
_symmetry_space_group_name_H-M 'P m -3 m'
_symmetry_Int_Tables_number 221
_symmetry_space_group_name_Hall '-P 4 2 3'
_cell_length_a 4.634
_cell_length_b 4.634
_cell_length_c 4.634
_cell_angle_alpha 90.00
_cell_angle_beta 90.00
_cell_angle_gamma 90.00
loop_
_atom_site_label
_atom_site_fract_x
_atom_site_fract_y
_atom_site_fract_z
Be1 0.000 0.000 0.000
Pd1 0.000 0.500 0.500
Br1 0.500 0.500 0.500
# * calculated volume: 19.90 A^3/atom
# * VASP energy: -117.2 eV/cell
# * raw formation energy: 994.9 meV per atom

=====

[3]
# meta-GGA SCAN BePt2Br, PBEsol geometry
data_BePt2Br
_symmetry_space_group_name_H-M 'P 1 2/m 1'
_symmetry_Int_Tables_number 10
_symmetry_space_group_name_Hall '-P 2y'
_cell_length_a 4.241
_cell_length_b 3.645
_cell_length_c 4.285
_cell_angle_alpha 90.00
_cell_angle_beta 103.57
_cell_angle_gamma 90.00
loop_
_atom_site_label
_atom_site_fract_x
_atom_site_fract_y
_atom_site_fract_z
Be1 0.000 0.000 0.000
Pt1 0.201 0.500 0.799
Br1 0.500 0.000 0.500
# * calculated volume: 16.10 A^3/atom
# * VASP energy: -164.1 eV/cell
# * raw formation energy: 28.3 meV per atom

=====

> Which of these has the highest calculated volume?

BePd3Br

=====

> Look up the raw formation energy of the second one.

994.9 meV per atom